Compound: Rb2Bi2Se
Source: Alexandria via LeMat-Bulk
Functional: PBE-GGA
Structure: relaxed

Computed properties:
Space-group type: P4/mbm (127)
Formation energy from raw total energies in eV per atom: -0.10
Magnetic moment in Bohr magnetons per cell: 0.00

a = 10.8954 Å, b = 10.8954 Å, c = 3.4683 Å
α = 90.00°, β = 90.00°, γ = 90.00°
Last column: nearest neighbours and their distance in Å.
Fractional coordinates of all 10 atoms:
Rb  0.2043  0.2957  0.0000  2 Rb 3.47, 6 Bi 3.58-3.87
Rb  0.2957  0.7957  0.0000  2 Rb 3.47, 6 Bi 3.58-3.87
Rb  0.7043  0.2043  0.0000  2 Rb 3.47, 6 Bi 3.58-3.87
Rb  0.7957  0.7043  0.0000  2 Rb 3.47, 6 Bi 3.58-3.87
Bi  0.0925  0.5925  0.5000  1 Bi 2.85
Bi  0.4075  0.0925  0.5000  1 Bi 2.85
Bi  0.5925  0.9075  0.5000  1 Bi 2.85
Bi  0.9075  0.4075  0.5000  1 Bi 2.85
Se  0.0000  0.0000  0.0000  2 Se 3.47
Se  0.5000  0.5000  0.0000  2 Se 3.47

Compound: Rb2Bi4Se7
Source: Alexandria via LeMat-Bulk
Functional: PBE-GGA
Structure: relaxed

Computed properties:
Space-group type: P2_1/m (11)
Formation energy from raw total energies in eV per atom: -0.65
Magnetic moment in Bohr magnetons per cell: 0.00

a = 13.2962 Å, b = 4.2700 Å, c = 15.3142 Å
α = 90.00°, β = 93.00°, γ = 90.00°
Last column: nearest neighbours and their distance in Å.
Fractional coordinates of all 26 atoms:
Rb  0.0624  0.2500  0.1858  8 Se 3.43-3.79
Rb  0.3274  0.7500  0.3771  6 Se 3.45-3.79
Rb  0.6726  0.2500  0.6229  6 Se 3.45-3.79
Rb  0.9376  0.7500  0.8142  8 Se 3.43-3.79
Bi  0.1068  0.7500  0.5704  6 Se 2.87-3.05
Bi  0.2305  0.7500  0.9521  4 Se 2.82-3.00
Bi  0.3352  0.2500  0.7206  6 Se 2.88-3.08
Bi  0.4422  0.2500  0.1242  5 Se 2.82-3.03
Bi  0.5578  0.7500  0.8758  5 Se 2.82-3.03
Bi  0.6648  0.7500  0.2794  6 Se 2.88-3.08
Bi  0.7695  0.2500  0.0479  4 Se 2.82-3.00
Bi  0.8932  0.2500  0.4296  6 Se 2.87-3.05
Se  0.0434  0.7500  0.3883  3 Bi 2.87-3.01
Se  0.0940  0.2500  0.9648  2 Bi 2.82
Se  0.1933  0.7500  0.7591  4 Bi 2.93-3.05
Se  0.2572  0.2500  0.5415  3 Bi 2.88-2.97
Se  0.2905  0.7500  0.1433  3 Bi 2.96-3.00
Se  0.4053  0.2500  0.9158  6 Bi 3.03-3.23
Se  0.4925  0.7500  0.6973  3 Bi 2.82-3.02
Se  0.5075  0.2500  0.3027  3 Bi 2.82-3.02
Se  0.5947  0.7500  0.0842  6 Bi 3.03-3.23
Se  0.7095  0.2500  0.8567  3 Bi 2.96-3.00
Se  0.7428  0.7500  0.4585  3 Bi 2.88-2.97
Se  0.8067  0.2500  0.2409  4 Bi 2.93-3.05
Se  0.9060  0.7500  0.0352  2 Bi 2.82
Se  0.9566  0.2500  0.6117  3 Bi 2.87-3.01

Compound: RbBiSe3
Source: Alexandria via LeMat-Bulk
Functional: PBE-GGA
Structure: relaxed

Computed properties:
Space-group type: Pm-3m (221)
Formation energy from raw total energies in eV per atom: 1.00
Magnetic moment in Bohr magnetons per cell: 0.54

a = 5.6713 Å, b = 5.6713 Å, c = 5.6713 Å
α = 90.00°, β = 90.00°, γ = 90.00°
Last column: nearest neighbours and their distance in Å.
Fractional coordinates of all 5 atoms:
Rb  0.0000  0.0000  0.0000  6 Se 2.84
Bi  0.5000  0.5000  0.5000  12 Se 4.01
Se  0.0000  0.0000  0.5000  2 Rb 2.84
Se  0.0000  0.5000  0.0000  2 Rb 2.84
Se  0.5000  0.0000  0.0000  2 Rb 2.84

Compound: RbBiSe
Source: Alexandria via LeMat-Bulk
Functional: PBE-GGA
Structure: relaxed

Computed properties:
Space-group type: Immm (71)
Formation energy from raw total energies in eV per atom: -0.39
Magnetic moment in Bohr magnetons per cell: 0.00

a = 4.0295 Å, b = 6.1655 Å, c = 18.5220 Å
α = 90.00°, β = 90.00°, γ = 90.00°
Last column: nearest neighbours and their distance in Å.
Fractional coordinates of all 12 atoms:
Rb  0.0000  0.0000  0.1705  5 Se 3.44-3.72
Rb  0.0000  0.0000  0.8295  5 Se 3.44-3.72
Rb  0.5000  0.5000  0.3295  5 Se 3.44-3.72
Rb  0.5000  0.5000  0.6705  5 Se 3.44-3.72
Bi  0.0000  0.2297  0.5000  1 Bi 2.83, 2 Se 3.02
Bi  0.0000  0.7703  0.5000  1 Bi 2.83, 2 Se 3.02
Bi  0.5000  0.2703  0.0000  1 Bi 2.83, 2 Se 3.02
Bi  0.5000  0.7297  0.0000  1 Bi 2.83, 2 Se 3.02
Se  0.0000  0.0000  0.3562  2 Bi 3.02
Se  0.0000  0.0000  0.6438  2 Bi 3.02
Se  0.5000  0.5000  0.1438  2 Bi 3.02
Se  0.5000  0.5000  0.8562  2 Bi 3.02

Compound: RbBi4Se6
Source: Alexandria via LeMat-Bulk
Functional: PBE-GGA
Structure: relaxed

Computed properties:
Space-group type: Cmcm (63)
Formation energy from raw total energies in eV per atom: -0.49
Magnetic moment in Bohr magnetons per cell: 0.00

a = 7.3816 Å, b = 7.3816 Å, c = 21.9811 Å
α = 90.00°, β = 90.00°, γ = 144.68°
Last column: nearest neighbours and their distance in Å.
Fractional coordinates of all 22 atoms:
Rb  0.1518  0.8482  0.7500  6 Se 3.35-3.53
Rb  0.8482  0.1518  0.2500  6 Se 3.35-3.53
Bi  0.0945  0.9055  0.1339  3 Se 2.77-2.87
Bi  0.0945  0.9055  0.3661  3 Se 2.77-2.87
Bi  0.3643  0.6357  0.0401  6 Se 2.90-3.07
Bi  0.3643  0.6357  0.4599  6 Se 2.90-3.07
Bi  0.6357  0.3643  0.5401  6 Se 2.90-3.07
Bi  0.6357  0.3643  0.9599  6 Se 2.90-3.07
Bi  0.9055  0.0945  0.6339  3 Se 2.77-2.87
Bi  0.9055  0.0945  0.8661  3 Se 2.77-2.87
Se  0.0000  0.0000  0.0000  6 Bi 3.07-3.23
Se  0.0000  0.0000  0.5000  6 Bi 3.07-3.23
Se  0.1707  0.8293  0.2500  2 Bi 2.77
Se  0.2583  0.7417  0.5820  5 Bi 2.97-3.26
Se  0.2583  0.7417  0.9180  5 Bi 2.97-3.26
Se  0.4704  0.5296  0.1533  3 Bi 2.87-2.90
Se  0.4704  0.5296  0.3467  3 Bi 2.87-2.90
Se  0.5296  0.4704  0.6533  3 Bi 2.87-2.90
Se  0.5296  0.4704  0.8467  3 Bi 2.87-2.90
Se  0.7417  0.2583  0.0820  5 Bi 2.97-3.26
Se  0.7417  0.2583  0.4180  5 Bi 2.97-3.26
Se  0.8293  0.1707  0.7500  2 Bi 2.77

Compound: Rb2BiSe
Source: Alexandria via LeMat-Bulk
Functional: PBE-GGA
Structure: relaxed

Computed properties:
Space-group type: Fm-3m (225)
Formation energy from raw total energies in eV per atom: -0.22
Magnetic moment in Bohr magnetons per cell: 10.52

a = 8.6570 Å, b = 8.6570 Å, c = 8.6570 Å
α = 90.00°, β = 90.00°, γ = 90.00°
Last column: nearest neighbours and their distance in Å.
Fractional coordinates of all 16 atoms:
Rb  0.2500  0.2500  0.2500  4 Se 3.75, 4 Bi 3.75
Rb  0.2500  0.2500  0.7500  4 Se 3.75, 4 Bi 3.75
Rb  0.2500  0.7500  0.2500  4 Se 3.75, 4 Bi 3.75
Rb  0.2500  0.7500  0.7500  4 Se 3.75, 4 Bi 3.75
Rb  0.7500  0.2500  0.2500  4 Se 3.75, 4 Bi 3.75
Rb  0.7500  0.2500  0.7500  4 Se 3.75, 4 Bi 3.75
Rb  0.7500  0.7500  0.2500  4 Se 3.75, 4 Bi 3.75
Rb  0.7500  0.7500  0.7500  4 Se 3.75, 4 Bi 3.75
Bi  0.0000  0.0000  0.0000  8 Rb 3.75
Bi  0.0000  0.5000  0.5000  8 Rb 3.75
Bi  0.5000  0.0000  0.5000  8 Rb 3.75
Bi  0.5000  0.5000  0.0000  8 Rb 3.75
Se  0.0000  0.0000  0.5000  8 Rb 3.75
Se  0.0000  0.5000  0.0000  8 Rb 3.75
Se  0.5000  0.0000  0.0000  8 Rb 3.75
Se  0.5000  0.5000  0.5000  8 Rb 3.75

Compound: RbBi6Se8
Source: Alexandria via LeMat-Bulk
Functional: PBE-GGA
Structure: relaxed

Computed properties:
Space-group type: R-3 (148)
Formation energy from raw total energies in eV per atom: -0.33
Magnetic moment in Bohr magnetons per cell: 0.00

a = 8.2922 Å, b = 8.2922 Å, c = 8.2922 Å
α = 90.86°, β = 90.86°, γ = 90.86°
Last column: nearest neighbours and their distance in Å.
Fractional coordinates of all 15 atoms:
Rb  0.0000  0.0000  0.0000  2 Se 3.62
Bi  0.2103  0.5693  0.3971  5 Se 2.87-3.13
Bi  0.3971  0.2103  0.5693  5 Se 2.87-3.13
Bi  0.4307  0.6029  0.7897  5 Se 2.87-3.13
Bi  0.5693  0.3971  0.2103  5 Se 2.87-3.13
Bi  0.6029  0.7897  0.4307  5 Se 2.87-3.13
Bi  0.7897  0.4307  0.6029  5 Se 2.87-3.13
Se  0.1214  0.3972  0.7018  4 Bi 2.88-3.13
Se  0.2561  0.2561  0.2561  3 Bi 2.87
Se  0.2982  0.8786  0.6028  4 Bi 2.88-3.13
Se  0.3972  0.7018  0.1214  4 Bi 2.88-3.13
Se  0.6028  0.2982  0.8786  4 Bi 2.88-3.13
Se  0.7018  0.1214  0.3972  4 Bi 2.88-3.13
Se  0.7439  0.7439  0.7439  3 Bi 2.87
Se  0.8786  0.6028  0.2982  4 Bi 2.88-3.13

Compound: Rb3BiSe
Source: Alexandria via LeMat-Bulk
Functional: PBE-GGA
Structure: relaxed

Computed properties:
Space-group type: C2/m (12)
Formation energy from raw total energies in eV per atom: -0.67
Magnetic moment in Bohr magnetons per cell: 0.00

a = 8.8952 Å, b = 8.8952 Å, c = 11.3293 Å
α = 96.84°, β = 96.84°, γ = 31.04°
Last column: nearest neighbours and their distance in Å.
Fractional coordinates of all 10 atoms:
Rb  0.0549  0.0549  0.1320  1 Rb 3.33, 4 Se 3.56-3.66
Rb  0.2354  0.2354  0.8494  3 Se 3.40-3.50
Rb  0.4127  0.4127  0.3674  1 Se 3.25
Rb  0.5873  0.5873  0.6326  1 Se 3.25
Rb  0.7646  0.7646  0.1506  3 Se 3.40-3.50
Rb  0.9451  0.9451  0.8680  1 Rb 3.33, 4 Se 3.56-3.66
Bi  0.2014  0.2014  0.4428  2 Bi 3.10
Bi  0.7986  0.7986  0.5572  2 Bi 3.10
Se  0.3924  0.3924  0.0786  6 Rb 3.25-3.56
Se  0.6076  0.6076  0.9214  6 Rb 3.25-3.56

Compound: Rb3BiSe3
Source: Alexandria via LeMat-Bulk
Functional: PBE-GGA
Structure: relaxed

Computed properties:
Space-group type: C2/m (12)
Formation energy from raw total energies in eV per atom: -0.92
Magnetic moment in Bohr magnetons per cell: 0.00

a = 8.5768 Å, b = 8.5768 Å, c = 8.7316 Å
α = 91.79°, β = 91.79°, γ = 113.45°
Last column: nearest neighbours and their distance in Å.
Fractional coordinates of all 14 atoms:
Rb  0.1756  0.8244  0.0000  6 Se 3.46-3.70
Rb  0.2259  0.7741  0.5000  4 Se 3.55-3.82
Rb  0.3658  0.3658  0.1313  3 Se 3.28-3.64, 1 Rb 3.51
Rb  0.6342  0.6342  0.8687  3 Se 3.28-3.64, 1 Rb 3.51
Rb  0.7741  0.2259  0.5000  4 Se 3.55-3.82
Rb  0.8244  0.1756  0.0000  6 Se 3.46-3.70
Bi  0.2182  0.2182  0.6330  3 Se 2.70-2.71
Bi  0.7818  0.7818  0.3670  3 Se 2.70-2.71
Se  0.0522  0.0522  0.2782  1 Bi 2.70
Se  0.1776  0.4777  0.7879  1 Bi 2.71
Se  0.4777  0.1776  0.7879  1 Bi 2.71
Se  0.5223  0.8224  0.2121  1 Bi 2.71
Se  0.8224  0.5223  0.2121  1 Bi 2.71
Se  0.9478  0.9478  0.7218  1 Bi 2.70

Compound: RbBiSe
Source: Alexandria via LeMat-Bulk
Functional: PBE-GGA
Structure: relaxed

Computed properties:
Space-group type: P1 (1)
Formation energy from raw total energies in eV per atom: -0.46
Magnetic moment in Bohr magnetons per cell: 0.00

a = 4.7126 Å, b = 4.9414 Å, c = 11.8670 Å
α = 92.86°, β = 101.16°, γ = 113.88°
Last column: nearest neighbours and their distance in Å.
Fractional coordinates of all 6 atoms:
Rb  0.0000  0.0000  0.0000  6 Se 3.51-3.79
Rb  0.2402  0.1396  0.3792  6 Se 3.52-3.80
Bi  0.1791  0.5454  0.7434  3 Bi 3.13-3.23
Bi  0.7552  0.8552  0.6298  3 Bi 3.13-3.23
Se  0.4140  0.6788  0.1892  2 Se 2.53-2.58
Se  0.8259  0.4599  0.1887  2 Se 2.53-2.58

Compound: Rb2Bi2Se
Source: Alexandria via LeMat-Bulk
Functional: PBE-GGA
Structure: relaxed

Computed properties:
Space-group type: I4/mmm (139)
Formation energy from raw total energies in eV per atom: -0.42
Magnetic moment in Bohr magnetons per cell: 1.02

a = 4.4160 Å, b = 4.4160 Å, c = 22.0468 Å
α = 90.00°, β = 90.00°, γ = 90.00°
Last column: nearest neighbours and their distance in Å.
Fractional coordinates of all 10 atoms:
Rb  0.0000  0.0000  0.0829  4 Se 3.62, 1 Rb 3.65
Rb  0.0000  0.0000  0.9171  4 Se 3.62, 1 Rb 3.65
Rb  0.5000  0.5000  0.4171  4 Se 3.62, 1 Rb 3.65
Rb  0.5000  0.5000  0.5829  4 Se 3.62, 1 Rb 3.65
Bi  0.0000  0.5000  0.2500  4 Bi 3.12
Bi  0.0000  0.5000  0.7500  4 Bi 3.12
Bi  0.5000  0.0000  0.2500  4 Bi 3.12
Bi  0.5000  0.0000  0.7500  4 Bi 3.12
Se  0.0000  0.0000  0.5000  8 Rb 3.62
Se  0.5000  0.5000  0.0000  8 Rb 3.62

Compound: Rb5Bi2Se5
Source: Alexandria via LeMat-Bulk
Functional: PBE-GGA
Structure: relaxed

Computed properties:
Space-group type: C2/m (12)
Formation energy from raw total energies in eV per atom: -0.84
Magnetic moment in Bohr magnetons per cell: 0.00

a = 7.8702 Å, b = 7.8702 Å, c = 13.3781 Å
α = 106.96°, β = 106.96°, γ = 37.16°
Last column: nearest neighbours and their distance in Å.
Fractional coordinates of all 12 atoms:
Rb  0.0000  0.0000  0.0000  6 Se 3.53-3.78
Rb  0.1590  0.1590  0.5568  3 Se 3.37-3.53
Rb  0.2526  0.2526  0.8570  5 Se 3.40-3.78
Rb  0.7474  0.7474  0.1430  5 Se 3.40-3.78
Rb  0.8410  0.8410  0.4432  3 Se 3.37-3.53
Bi  0.4591  0.4591  0.7080  4 Se 2.73-3.03
Bi  0.5409  0.5409  0.2920  4 Se 2.73-3.03
Se  0.1431  0.1431  0.2878  2 Bi 2.95
Se  0.3938  0.3938  0.1105  1 Bi 2.73
Se  0.5000  0.5000  0.5000  2 Bi 3.03, 4 Rb 3.37
Se  0.6062  0.6062  0.8895  1 Bi 2.73
Se  0.8569  0.8569  0.7122  2 Bi 2.95